Record 1
# K4NaCl5

A geometry-optimized K4NaCl5 structure (GGA-PBEsol, Alexandria).

Lattice parameters (Å, degrees): 11.479 11.479 11.479 158.45 148.91 38.14
Element x y z (fractional)
K: 0.099 0.099 0.000
K: 0.305 0.305 0.000
K: 0.695 0.695 0.000
K: 0.901 0.901 0.000
Na: 0.500 0.500 0.000
Cl: 0.000 0.500 0.500
Cl: 0.202 0.702 0.500
Cl: 0.411 0.911 0.500
Cl: 0.589 0.089 0.500
Cl: 0.798 0.298 0.500

## Properties
Final energy   -3.49 eV per atom
Relative energy among the computed polymorphs   3.8 meV per atom
E_form (uncorrected)   -1.8970 eV/atom
Magnetization   0.001 μB/f.u.
D(E_F)   0.000 states/eV per cell
SG   Immm

***

Record 2
# Li3Mn2VO6

A geometry-optimized Li3Mn2VO6 structure (GGA-PBEsol, Alexandria).

Lattice parameters (Å, degrees): 7.066 7.066 5.727 101.34 101.34 23.00
Element x y z (fractional)
Li: 0.000 0.000 0.000
Li: 0.347 0.347 0.679
Li: 0.653 0.653 0.321
Mn: 0.335 0.335 0.162
Mn: 0.665 0.665 0.838
V: 0.000 0.000 0.500
O: 0.148 0.148 0.596
O: 0.168 0.168 0.073
O: 0.496 0.496 0.737
O: 0.504 0.504 0.263
O: 0.832 0.832 0.927
O: 0.852 0.852 0.404

## Properties
Final energy   -7.49 eV per atom
E_form (uncorrected)   -1.9472 eV/atom
Magnetization   9.863 μB/f.u.
D(E_F)   3.020 states/eV per cell
SG   C2/m